1.
Here is NiPt2Se after structural relaxation from Alexandria via LeMat-Bulk. Energies are from PBE.

Calculated values
* total DFT energy (no corrections): -5.156 eV/atom
* crystal system: trigonal

extended XYZ file:
```
12
Lattice="2.9040 0.0000 0.0000 -1.4520 2.5149 0.0000 0.0000 0.0000 25.3473" Properties=species:S:1:pos:R:3 pbc="T T T"
Ni 0.0000 0.0000 0.0000
Ni 0.0000 1.6766 16.8982
Ni 1.4520 0.8383 8.4491
Pt 0.0000 0.0000 6.4328
Pt 0.0000 0.0000 18.9145
Pt 0.0000 1.6766 10.4654
Pt 0.0000 1.6766 23.3310
Pt 1.4520 0.8383 2.0163
Pt 1.4520 0.8383 14.8819
Se 0.0000 0.0000 12.6737
Se 0.0000 1.6766 4.2246
Se 1.4520 0.8383 21.1228
```

***

2.
Here is K2YTc after structural relaxation from Alexandria via LeMat-Bulk. Energies are from PBE.

Calculated values
* total DFT energy (no corrections): -3.723 eV/atom
* offset from the most stable computed form: 430 meV/atom
* crystal system: monoclinic
* energy of formation: 1.034 eV per atom

extended XYZ file:
```
8
Lattice="5.9638 0.0000 0.0000 0.0000 13.3752 0.0000 -1.9840 0.0000 3.0041" Properties=species:S:1:pos:R:3 pbc="T T T"
K 1.4910 3.3438 0.0000
K 1.4910 10.0314 0.0000
K 4.4729 3.3438 0.0000
K 4.4729 10.0314 0.0000
Y -0.9920 0.0000 1.5021
Y 1.9899 6.6876 1.5021
Tc -0.9920 6.6876 1.5021
Tc 1.9899 0.0000 1.5021
```

***

3.
Here is MgPtN2O after structural relaxation from Alexandria via LeMat-Bulk. Energies are from PBE.

Calculated values
* total DFT energy (no corrections): -5.203 eV/atom
* crystal system: tetragonal

extended XYZ file:
```
5
Lattice="3.7965 0.0000 0.0000 0.0000 3.7965 0.0000 0.0000 0.0000 4.4584" Properties=species:S:1:pos:R:3 pbc="T T T"
Mg 0.0000 0.0000 0.0000
Pt 1.8982 1.8982 2.2292
N 0.0000 1.8982 2.2292
N 1.8982 0.0000 2.2292
O 1.8982 1.8982 0.0000
```

***

4.
Here is Pr3Sm7Tm after structural relaxation from Alexandria via LeMat-Bulk. Energies are from PBE.

Calculated values
* total DFT energy (no corrections): -4.481 eV/atom
* offset from the most stable computed form: 67 meV/atom
* crystal system: monoclinic
* energy of formation: 0.232 eV per atom

extended XYZ file:
```
11
Lattice="5.8896 -5.1256 0.0000 5.8896 5.1256 0.0000 -0.4890 0.0000 6.4771" Properties=species:S:1:pos:R:3 pbc="T T T"
Pr 0.0000 0.0000 0.0000
Pr 5.6451 3.3474 3.2386
Pr 5.6451 -3.3474 3.2386
Sm 2.9405 1.7473 1.5419
Sm 2.4944 0.0000 4.6282
Sm 2.9405 -1.7473 1.5419
Sm 5.6451 0.0000 3.2386
Sm 8.3497 1.7473 4.9352
Sm 8.7958 0.0000 1.8490
Sm 8.3497 -1.7473 4.9352
Tm 5.8896 0.0000 0.0000
```

***

> Among the records above, which one has the lowest total DFT energy (no corrections)?

MgPtN2O

***

> Which value of total DFT energy (no corrections) does entry 4 give?

-4.481 eV/atom

***

> Which value of total DFT energy (no corrections) does entry 3 give?

-5.203 eV/atom